Record 1
A relaxed La3Pm2Ir2 crystal. Source: Alexandria, functional GGA-PBE.

## Properties
DFT formation energy = -3.6 eV/f.u.
Raw total energy = -45.62 eV per formula unit

Cell lengths 4.004, 6.598, 9.249 Å; angles 114.73, 90.00, 107.66 degrees
Positions (direct):
Pm1 0.174 0.349 0.813
La1 0.385 0.770 0.575
La2 0.500 0.000 0.000
Ir1 0.818 0.636 0.754
Ir2 0.182 0.364 0.246
La3 0.615 0.230 0.425
Pm2 0.826 0.651 0.187



Record 2
A relaxed LaPm4Ir3 crystal. Source: Alexandria, functional GGA-PBE.

## Properties
DFT formation energy = -4.7 eV/f.u.
Raw total energy = -55.26 eV per formula unit

Cell lengths 7.241, 7.724, 10.536 Å; angles 109.92, 90.00, 117.95 degrees
Positions (direct):
Pm1 0.729 0.783 0.051
Ir1 0.692 0.387 0.370
Pm2 0.133 0.598 0.836
Pm3 0.869 0.408 0.125
La1 0.315 0.989 0.238
Pm4 0.540 0.408 0.625
Pm5 0.466 0.598 0.336
Ir2 0.903 0.806 0.306
Ir3 0.298 0.598 0.087
Pm6 0.054 0.783 0.551
Ir4 0.300 0.598 0.587
Pm7 0.283 0.209 0.937
Ir5 0.696 0.387 0.870
Pm8 0.926 0.209 0.437
La2 0.674 0.989 0.738
Ir6 0.903 0.806 0.806



Record 3
A relaxed La3PmIr crystal. Source: Alexandria, functional GGA-PBE.

## Properties
E above lowest polymorph = 0.0387 eV per atom
DFT formation energy = -1.3 eV/f.u.
Raw total energy = -29.71 eV per formula unit

Cell lengths 4.954, 6.903, 10.332 Å; angles 90.00, 90.00, 111.09 degrees
Positions (direct):
La1 0.873 0.745 0.000
La2 0.127 0.255 0.000
La3 0.634 0.268 0.750
Pm1 0.369 0.737 0.750
Ir1 0.001 0.003 0.250
La4 0.127 0.255 0.500
Pm2 0.631 0.263 0.250
Ir2 0.999 0.997 0.750
La5 0.873 0.745 0.500
La6 0.366 0.732 0.250



Record 4
A relaxed LaPm4Ir2 crystal. Source: Alexandria, functional GGA-PBE.

## Properties
E above lowest polymorph = 0.0000 eV per atom
DFT formation energy = -3.0 eV/f.u.
Raw total energy = -44.68 eV per formula unit

Cell lengths 4.898, 9.170, 9.170 Å; angles 90.00, 90.00, 90.00 degrees
Positions (direct):
Ir1 0.000 0.713 0.287
Pm1 0.000 0.965 0.702
La1 0.500 0.000 0.000
Pm2 0.000 0.298 0.035
Ir2 0.000 0.287 0.713
Pm3 0.500 0.202 0.535
Pm4 0.000 0.702 0.965
Pm5 0.000 0.035 0.298
La2 0.000 0.500 0.500
Pm6 0.500 0.535 0.202
Pm7 0.500 0.798 0.465
Ir3 0.500 0.213 0.213
Ir4 0.500 0.787 0.787
Pm8 0.500 0.465 0.798



Record 5
A relaxed La2Pm6Ir crystal. Source: Alexandria, functional GGA-PBE.

## Properties
DFT formation energy = 0.1 eV/f.u.
Raw total energy = -47.09 eV per formula unit

Cell lengths 3.774, 9.487, 10.023 Å; angles 118.25, 90.10, 90.00 degrees
Positions (direct):
Ir1 0.000 0.000 0.000
Pm1 0.500 0.213 0.000
Pm2 0.999 0.668 0.667
La1 0.502 0.331 0.662
Pm3 0.001 0.332 0.333
Pm4 0.500 0.787 0.000
Pm5 0.001 0.001 0.333
La2 0.498 0.669 0.338
Pm6 0.999 0.999 0.667



Record 6
A relaxed LaPmIrPt crystal. Source: Alexandria, functional GGA-PBE.

## Properties
E above lowest polymorph = 0.0000 eV per atom
DFT formation energy = -3.7 eV/f.u.
Raw total energy = -28.32 eV per formula unit

Cell lengths 3.956, 4.456, 5.805 Å; angles 90.00, 109.92, 90.00 degrees
Positions (direct):
Pm1 0.863 0.500 0.726
Ir1 0.409 0.000 0.819
Pt1 0.586 0.500 0.171
La1 0.142 0.000 0.284



Record 7
A relaxed LaPmIrPt crystal. Source: Alexandria, functional GGA-PBE.

## Properties
E above lowest polymorph = 0.0816 eV per atom
DFT formation energy = -3.4 eV/f.u.
Raw total energy = -27.99 eV per formula unit

Cell lengths 5.076, 5.076, 5.076 Å; angles 60.00, 60.00, 60.00 degrees
Positions (direct):
Ir1 0.000 0.000 0.000
Pt1 0.500 0.500 0.500
Pm1 0.250 0.250 0.250
La1 0.750 0.750 0.750



Record 8
A relaxed La2Pm2Ir2Pt crystal. Source: Alexandria, functional GGA-PBE.

## Properties
DFT formation energy = -5.2 eV/f.u.
Raw total energy = -48.37 eV per formula unit

Cell lengths 3.987, 7.350, 8.018 Å; angles 63.68, 90.06, 74.33 degrees
Positions (direct):
La1 0.475 0.050 0.254
La2 0.525 0.950 0.746
Pm1 0.223 0.554 0.296
Pm2 0.777 0.446 0.704
Pt1 0.000 0.000 0.000
Ir1 0.114 0.773 0.537
Ir2 0.886 0.227 0.463



Record 9
A relaxed La2Pm2Si4Ir crystal. Source: Alexandria, functional GGA-PBE.

## Properties
ΔE_f (raw) = -442.2 meV/atom
Raw total energy = -53.89 eV per formula unit

Cell lengths 6.619, 6.619, 6.619 Å; angles 96.66, 116.24, 116.24 degrees
Positions (direct):
Si1 0.000 0.757 0.243
Pm1 0.000 0.315 0.315
Ir1 0.000 0.000 0.000
Si2 0.487 0.243 0.243
Si3 0.513 0.757 0.757
Pm2 0.000 0.685 0.685
La1 0.500 0.250 0.750
La2 0.500 0.750 0.250
Si4 0.000 0.243 0.757



Record 10
A relaxed LaPmSnIr crystal. Source: Alexandria, functional GGA-PBE.

## Properties
DFT formation energy = -2.0 eV/f.u.
Raw total energy = -24.54 eV per formula unit

Cell lengths 5.290, 5.290, 5.290 Å; angles 60.00, 60.00, 60.00 degrees
Positions (direct):
Sn1 0.250 0.250 0.250
Ir1 0.750 0.750 0.750
Pm1 0.000 0.000 0.000
La1 0.500 0.500 0.500



Record 11
A relaxed La2PmTlIr crystal. Source: Alexandria, functional GGA-PBE.

## Properties
DFT formation energy = -1.9 eV/f.u.
Raw total energy = -27.78 eV per formula unit

Cell lengths 5.538, 5.538, 5.642 Å; angles 90.00, 90.00, 90.00 degrees
Positions (direct):
Pm1 0.000 0.000 0.500
Tl1 0.500 0.500 0.501
Ir1 0.000 0.000 0.000
La1 0.000 0.500 0.000
La2 0.500 0.000 0.000



Record 12
A relaxed LaPmTlIr crystal. Source: Alexandria, functional GGA-PBE.

## Properties
E above lowest polymorph = 0.1570 eV per atom
DFT formation energy = -1.5 eV/f.u.
Raw total energy = -22.39 eV per formula unit

Cell lengths 5.292, 5.292, 5.292 Å; angles 60.00, 60.00, 60.00 degrees
Positions (direct):
Tl1 0.500 0.500 0.500
Ir1 0.000 0.000 0.000
La1 0.250 0.250 0.250
Pm1 0.750 0.750 0.750



Record 13
A relaxed LaPmTlIr crystal. Source: Alexandria, functional GGA-PBE.

## Properties
E above lowest polymorph = 0.0000 eV per atom
DFT formation energy = -2.1 eV/f.u.
Raw total energy = -23.02 eV per formula unit

Cell lengths 3.559, 3.559, 8.483 Å; angles 90.00, 90.00, 90.00 degrees
Positions (direct):
La1 0.500 0.500 0.773
Ir1 0.000 0.000 0.564
Tl1 0.000 0.000 0.079
Pm1 0.500 0.500 0.368



Record 14
A relaxed LaPmZnIr crystal. Source: Alexandria, functional GGA-PBE.

## Properties
E above lowest polymorph = 0.0496 eV per atom
DFT formation energy = -2.0 eV/f.u.
Raw total energy = -21.77 eV per formula unit

Cell lengths 5.124, 5.124, 5.124 Å; angles 60.00, 60.00, 60.00 degrees
Positions (direct):
Pm1 0.750 0.750 0.750
La1 0.250 0.250 0.250
Ir1 0.500 0.500 0.500
Zn1 0.000 0.000 0.000



Record 15
A relaxed LaPmZnIr crystal. Source: Alexandria, functional GGA-PBE.

## Properties
E above lowest polymorph = 0.0000 eV per atom
DFT formation energy = -2.2 eV/f.u.
Raw total energy = -21.97 eV per formula unit

Cell lengths 4.073, 4.406, 5.916 Å; angles 90.00, 110.14, 90.00 degrees
Positions (direct):
Ir1 0.430 0.000 0.859
La1 0.862 0.500 0.725
Pm1 0.137 0.000 0.274
Zn1 0.571 0.500 0.142



Record 16
A relaxed La3PrIr2 crystal. Source: Alexandria, functional GGA-PBE.

## Properties
DFT formation energy = -3.6 eV/f.u.
Raw total energy = -40.84 eV per formula unit

Cell lengths 4.329, 8.906, 10.812 Å; angles 75.79, 78.45, 75.93 degrees
Positions (direct):
Ir1 0.375 0.874 0.376
Pr1 0.437 0.437 0.689
La1 0.312 0.318 0.058
Ir2 0.126 0.624 0.124
Ir3 0.874 0.376 0.876
La2 0.940 0.929 0.192
La3 0.060 0.071 0.808
La4 0.688 0.682 0.942
La5 0.188 0.183 0.441
La6 0.812 0.817 0.559
Ir4 0.625 0.126 0.624
Pr2 0.563 0.563 0.311



Record 17
A relaxed LaPrIr4 crystal. Source: Alexandria, functional GGA-PBE.

## Properties
DFT formation energy = -4.1 eV/f.u.
Raw total energy = -49.29 eV per formula unit

Cell lengths 5.466, 5.466, 5.466 Å; angles 60.00, 60.00, 60.00 degrees
Positions (direct):
Ir1 0.625 0.125 0.625
La1 0.000 0.000 0.000
Pr1 0.250 0.250 0.250
Ir2 0.625 0.625 0.625
Ir3 0.125 0.625 0.625
Ir4 0.625 0.625 0.125



Record 18
A relaxed LaPr3Ir3 crystal. Source: Alexandria, functional GGA-PBE.

## Properties
DFT formation energy = -4.0 eV/f.u.
Raw total energy = -49.88 eV per formula unit

Cell lengths 7.703, 7.703, 7.703 Å; angles 69.42, 69.42, 69.42 degrees
Positions (direct):
Pr1 0.881 0.182 0.633
Ir1 0.055 0.445 0.693
Pr2 0.119 0.818 0.367
La1 0.325 0.325 0.325
Pr3 0.818 0.367 0.119
Ir2 0.555 0.307 0.945
Ir3 0.693 0.055 0.445
Ir4 0.445 0.693 0.055
Pr4 0.182 0.633 0.881
Pr5 0.367 0.119 0.818
Pr6 0.633 0.881 0.182
Ir5 0.945 0.555 0.307
Ir6 0.307 0.945 0.555
La2 0.675 0.675 0.675



Record 19
A relaxed La4PrIr2 crystal. Source: Alexandria, functional GGA-PBE.

## Properties
DFT formation energy = -3.0 eV/f.u.
Raw total energy = -45.19 eV per formula unit

Cell lengths 6.749, 8.250, 8.159 Å; angles 114.52, 90.00, 90.00 degrees
Positions (direct):
La1 0.006 0.581 0.226
La2 0.250 0.265 0.342
La3 0.506 0.419 0.774
La4 0.750 0.012 0.374
La5 0.994 0.419 0.774
La6 0.494 0.581 0.226
La7 0.250 0.988 0.626
Ir1 0.250 0.640 0.591
Ir2 0.750 0.360 0.409
Ir3 0.250 0.232 0.990
Pr1 0.250 0.852 0.978
Ir4 0.750 0.768 0.010
La8 0.750 0.735 0.658
Pr2 0.750 0.148 0.022



Record 20
A relaxed La2PrIr9 crystal. Source: Alexandria, functional GGA-PBE.

## Properties
DFT formation energy = -6.2 eV/f.u.
Raw total energy = -100.57 eV per formula unit

Cell lengths 5.399, 5.399, 9.444 Å; angles 73.39, 73.39, 60.00 degrees
Positions (direct):
Ir1 0.578 0.578 0.760
Ir2 0.916 0.422 0.240
La1 0.140 0.140 0.581
Ir3 0.422 0.422 0.240
Ir4 0.332 0.332 0.005
Ir5 0.422 0.916 0.240
Ir6 0.084 0.578 0.760
La2 0.860 0.860 0.419
Ir7 0.500 0.500 0.500
Ir8 0.668 0.668 0.995
Ir9 0.578 0.084 0.760
Pr1 0.000 0.000 0.000